No. 1
Compound: Rb2SiGe
Source: Alexandria
Functional: PBE
Structure: optimized geometry

Lattice parameters (Å, degrees): 5.929 5.929 5.929 60.00 60.00 60.00
Site moments in Bohr magnetons follow the coordinates.
Positions (direct):
1 Rb 0.250 0.250 0.250  0.00
2 Rb 0.750 0.750 0.750  0.00
3 Si 0.000 0.000 0.000  0.45
4 Ge 0.500 0.500 0.500  -0.61

- formation energy without anion corrections (eV/atom) = 0.630
- raw total energy (eV/atom) = -2.36
- polymorph energy (0 for the lowest one) (eV per atom) = 0.4225

***

No. 2
Compound: Ca2FeW
Source: Alexandria
Functional: PBE
Structure: optimized geometry

Lattice parameters (Å, degrees): 8.800 8.800 3.722 77.82 77.82 20.67
Positions (direct):
1 Ca 0.099 0.099 0.900
2 Ca 0.401 0.401 0.600
3 Fe 0.750 0.750 0.750
4 W 0.250 0.250 0.250

- raw total energy (eV/atom) = -5.81
- polymorph energy (0 for the lowest one) (eV per atom) = 0.1273

***

No. 3
Compound: MnGaSn2
Source: Alexandria
Functional: PBE
Structure: optimized geometry

Lattice parameters (Å, degrees): 4.317 4.317 10.326 77.94 77.94 90.00
Site moments in Bohr magnetons follow the coordinates.
Positions (direct):
1 Sn 0.375 0.380 0.750  -0.04
2 Sn 0.875 0.870 0.750  -0.04
3 Sn 0.620 0.125 0.250  -0.04
4 Sn 0.130 0.625 0.250  -0.04
5 Ga 0.000 0.000 0.000  -0.05
6 Ga 0.750 0.250 0.500  -0.05
7 Mn 0.250 0.750 0.500  3.79
8 Mn 0.500 0.500 0.000  3.79

- raw total energy (eV/atom) = -4.77

***

No. 4
Compound: NaNiOs3
Source: Alexandria
Functional: PBE
Structure: optimized geometry

Lattice parameters (Å, degrees): 4.508 4.508 4.508 90.00 90.00 90.00
Site moments in Bohr magnetons follow the coordinates.
Positions (direct):
1 Os 0.000 0.000 0.500  1.03
2 Os 0.500 0.000 0.000  0.63
3 Os 0.000 0.500 0.000  0.83
4 Ni 0.000 0.000 0.000  0.68
5 Na 0.500 0.500 0.500  -0.01

- raw total energy (eV/atom) = -6.21
- polymorph energy (0 for the lowest one) (eV per atom) = 0.0000